A relaxed structure of La3Cd2Sn4, computed with PBE-GGA.

Cell lengths 4.8154, 6.5741, 9.6105 Å; angles 111.78, 90.00, 111.48 degrees
Element x y z (fractional)
La 0.3681 0.7361 0.3164
La 0.6319 0.2639 0.6836
La 0.0000 0.0000 0.0000
Sn 0.7046 0.4093 0.0497
Sn 0.0775 0.1549 0.3929
Sn 0.9225 0.8451 0.6071
Sn 0.2954 0.5907 0.9503
Cd 0.6793 0.3585 0.3353
Cd 0.3207 0.6415 0.6647

Summary:
total energy = -4.2195 eV per atom
ΔE_f = -0.595 eV/atom